# NdGd2C

A relaxed structure of NdGd2C (PBE, Alexandria via LeMat-Bulk).

abc: 3.5757 3.5757 29.7180
angles: 90.00 90.00 120.00
Space group R-3m (No. 166, hexagonal axes)
One atom of each set of equivalent atoms:
Nd1 0.0000 0.0000 0.0000 (multiplicity 3)
Gd1 0.0000 0.0000 0.1206 (multiplicity 6)
C1 0.0000 0.0000 0.5000 (multiplicity 3)

Results
- Total energy: -0.7806 Ry/atom
- Energy of formation from the pure elements: -0.082 eV per atom